1.
# DyZnAg

Crystalline DyZnAg at its relaxed geometry (GGA-PBE, OQMD via LeMat-Bulk).

POSCAR file:
```
DyZnAg
1.0
-4.227 -1.818 4.863
-0.631 1.197 6.557
-4.443 3.081 3.948
Dy Zn Ag
2 2 2
Cartesian
-8.274 2.188 13.670
-1.028 0.272 1.698
-2.617 0.692 4.323
-6.685 1.768 11.044
-5.374 1.421 8.879
-3.928 1.039 6.489
```

Summary:
crystal system: trigonal
formation enthalpy at 0 K: -0.187 eV/atom
magnetic moment: 0.0 μB per formula unit
SG: R-3m (166)

---

2.
# BaAg6O4

Crystalline BaAg6O4 at its relaxed geometry (GGA-PBE, OQMD via LeMat-Bulk).

POSCAR file:
```
BaAg6O4
1.0
-0.902 5.227 -4.011
-8.530 -6.704 -6.817
-6.712 3.014 5.435
Ag O Ba
24 16 4
Cartesian
-5.088 -0.645 -1.975
-7.338 -1.899 -4.058
-3.356 1.507 2.718
-5.998 4.635 -2.763
-9.123 3.356 1.785
-11.056 2.182 -3.418
-11.786 -0.711 -2.615
-13.238 0.576 -5.020
-7.262 1.140 1.945
-4.265 -3.352 -3.408
-3.807 4.120 0.712
-9.343 -3.584 -5.803
-5.969 2.211 -0.416
-3.283 3.145 -5.315
-8.806 3.435 -1.335
-6.801 5.120 0.410
-4.716 -0.739 -5.414
-7.021 -1.819 -7.178
-10.146 -3.098 -2.630
-2.906 0.960 -0.374
-12.860 -1.608 -0.079
-8.881 0.396 -7.338
-10.175 -0.674 -4.977
-4.357 2.247 -2.778
-5.295 2.633 -5.455
-8.120 -5.296 -5.663
-9.823 0.477 -3.270
-6.321 1.060 -2.123
-8.016 4.232 -3.121
-2.106 1.765 -2.152
-5.741 3.458 1.233
-6.806 -0.501 -5.583
-8.024 6.833 0.270
-12.169 -3.539 -2.824
-3.975 5.076 -2.569
-8.128 -2.696 -2.272
-9.338 2.037 0.190
-10.849 -1.097 0.061
-10.402 -1.922 -6.626
-14.038 -0.228 -3.241
-6.133 3.959 3.781
-1.481 4.281 -2.357
-7.493 1.714 -4.351
-8.651 -0.177 -1.043
```

Summary:
crystal system: orthorhombic
SG: Pnna (52)

---

3.
# SmBiMo

Crystalline SmBiMo at its relaxed geometry (GGA-PBE, OQMD via LeMat-Bulk).

POSCAR file:
```
SmBiMo
1.0
0.000 3.503 3.503
3.503 0.000 3.503
3.503 3.503 0.000
Mo Bi Sm
1 1 1
Cartesian
1.751 1.751 1.751
0.000 0.000 0.000
5.254 5.254 5.254
```

Summary:
crystal system: cubic
ΔE to the lowest computed polymorph: 0.0000 eV per atom
magnetic moment: 1.4 μB per formula unit
SG: F-43m (216)

---

4.
# LaGdZn2Ge2

Crystalline LaGdZn2Ge2 at its relaxed geometry (GGA-PBE, OQMD via LeMat-Bulk).

POSCAR file:
```
LaGdZn2Ge2
1.0
4.308 0.000 0.000
-2.154 3.731 0.000
0.000 0.000 16.400
Gd Zn La Ge
2 4 2 4
Cartesian
0.000 0.000 4.100
0.000 0.000 12.300
2.154 1.244 10.705
0.000 2.487 2.505
0.000 2.487 5.695
2.154 1.244 13.895
0.000 0.000 0.000
0.000 0.000 8.200
2.154 1.244 6.244
0.000 2.487 14.444
2.154 1.244 1.956
0.000 2.487 10.156
```

Summary:
crystal system: hexagonal
ΔE to the lowest computed polymorph: 0.0000 eV per atom
magnetic moment: 0.0 μB per formula unit
SG: P6_3/mmc (194)

---

5.
# HoTaAsO

Crystalline HoTaAsO at its relaxed geometry (GGA-PBE, OQMD via LeMat-Bulk).

POSCAR file:
```
HoTaAsO
1.0
4.140 0.000 0.000
0.000 4.994 0.000
0.000 0.000 6.602
Ho As O Ta
2 2 2 2
Cartesian
2.070 4.035 3.941
2.070 0.959 0.640
0.000 4.333 1.908
0.000 0.661 5.209
2.070 1.924 2.842
2.070 3.069 6.143
0.000 1.876 2.889
0.000 3.118 6.190
```

Summary:
crystal system: orthorhombic
ΔE to the lowest computed polymorph: 0.2218 eV per atom
magnetic moment: 0.0 μB per formula unit
SG: Pmc2_1 (26)

---

6.
# LiLuCdSe3

Crystalline LiLuCdSe3 at its relaxed geometry (GGA-PBE, OQMD via LeMat-Bulk).

POSCAR file:
```
LiLuCdSe3
1.0
6.606 -2.012 0.000
6.606 2.012 0.000
0.000 0.000 11.002
Cd Li Se Lu
2 2 6 2
Cartesian
6.925 0.000 8.251
6.286 0.000 2.750
10.091 0.000 2.750
3.121 0.000 8.251
1.393 0.000 2.750
8.468 0.000 10.336
4.743 0.000 0.665
4.743 0.000 4.836
11.818 0.000 8.251
8.468 0.000 6.166
0.000 0.000 5.501
0.000 0.000 0.000
```

Summary:
crystal system: orthorhombic
ΔE to the lowest computed polymorph: 0.1078 eV per atom
magnetic moment: 0.0 μB per formula unit
SG: Cmcm (63)

---

What VASP energy values result from the calculations? In sequence: -3.08, -4.10, -5.95, -4.27, -8.14, -4.11 eV/atom.